Entry 1:
La2HfCr2N6 | PBE-GGA | optimized geometry

## Properties
Crystal system = trigonal
Space group = R-3m
Formation energy from raw total energies = -0.9708 eV/atom

Lattice parameters (Å, degrees): 5.8104 5.8104 6.4251 63.12 63.12 60.00
Element x y z (fractional)
La  0.7838  0.7838  0.6485
La  0.2162  0.2162  0.3515
Hf  0.0000  0.0000  0.0000
Cr  0.4342  0.4342  0.6974
Cr  0.5658  0.5658  0.3026
N  0.7533  0.7533  0.2506
N  0.2428  0.7533  0.2506
N  0.7533  0.2428  0.2506
N  0.2467  0.7572  0.7494
N  0.7572  0.2467  0.7494
N  0.2467  0.2467  0.7494

Entry 2:
NaLaHf2Cr | PBE-GGA | optimized geometry

## Properties
Crystal system = tetragonal
Space group = P4/mmm
E_form = 1.372 eV per atom

Lattice parameters (Å, degrees): 5.1422 4.9290 5.1422 90.00 90.00 90.00
Site moments in Bohr magnetons follow the coordinates.
Element x y z (fractional)
Na  0.0000  0.0000  0.0000  0.00
Cr  0.0000  0.5000  0.0000  3.69
Hf  0.0000  0.0000  0.5000  -0.21
Hf  0.5000  0.0000  0.0000  -0.13
La  0.5000  0.5000  0.5000  -0.04

Entry 3:
NaLa2HfCr | PBE-GGA | optimized geometry

## Properties
Crystal system = tetragonal
Space group = P4/mmm
E_form = 1.298 eV per atom

Lattice parameters (Å, degrees): 5.7056 5.7056 4.8072 90.00 90.00 90.00
Site moments in Bohr magnetons follow the coordinates.
Element x y z (fractional)
Na  0.0000  0.0000  0.0000  0.02
Cr  0.0000  0.0000  0.5000  3.90
Hf  0.5000  0.5000  0.5000  -0.81
La  0.0000  0.5000  0.0000  -0.24
La  0.5000  0.0000  0.0000  -0.24